Record 1
## LaAg2Os (GGA-PBE)

Data for crystalline LaAg2Os at its relaxed geometry. Values from VASP.

## Properties
Formation energy ... 1.43 eV/f.u.
M_tot ... 0.0 μB/f.u.

```
&SYSTEM
  ibrav = 0, nat = 4, ntyp = 3
/
ATOMIC_SPECIES
Os 190.23 Os.upf
Ag 107.87 Ag.upf
La 138.91 La.upf
CELL_PARAMETERS angstrom
-3.951 3.218 1.150
-4.078 -3.028 1.220
4.899 -0.081 1.811
ATOMIC_POSITIONS angstrom
Os -1.597 -1.507 2.108
Ag -8.028 0.190 2.369
Ag -1.533 1.616 2.073
La -4.015 0.095 1.185
```

Record 2
## Sr2Li3As4Au (GGA-PBE)

Data for crystalline Sr2Li3As4Au at its relaxed geometry. Values from VASP.

## Properties
Formation energy ... -7.64 eV/f.u.
M_tot ... 0.0 μB/f.u.

```
&SYSTEM
  ibrav = 0, nat = 10, ntyp = 4
/
ATOMIC_SPECIES
Sr 87.62 Sr.upf
Li 6.94 Li.upf
As 74.92 As.upf
Au 196.97 Au.upf
CELL_PARAMETERS angstrom
-2.822 3.289 -0.204
-3.194 -2.797 -0.896
-2.042 -1.088 10.674
ATOMIC_POSITIONS angstrom
Sr -1.919 1.374 2.553
Sr -3.131 -2.216 7.571
Li -1.021 -0.544 5.337
Li -3.192 0.695 9.206
Li -1.858 -1.538 0.918
As -3.008 0.246 -0.550
As 0.000 0.000 0.000
As -2.724 0.944 6.764
As -2.325 -1.787 3.360
Au -4.029 -0.298 4.787
```

Record 3
## MgNiTe (GGA-PBE)

Data for crystalline MgNiTe at its relaxed geometry. Values from VASP.

## Properties
Formation energy from raw total energies ... -0.315 eV per atom
M_tot ... 0.0 μB/f.u.

```
&SYSTEM
  ibrav = 0, nat = 6, ntyp = 3
/
ATOMIC_SPECIES
Ni 58.69 Ni.upf
Mg 24.30 Mg.upf
Te 127.60 Te.upf
CELL_PARAMETERS angstrom
-3.098 1.962 2.332
2.646 -2.883 1.891
6.484 3.639 1.489
ATOMIC_POSITIONS angstrom
Ni 5.368 0.477 2.936
Ni 2.608 1.117 2.780
Mg 3.701 -1.440 2.339
Mg 4.276 3.036 3.378
Te 0.748 -1.021 2.114
Te 1.118 3.222 3.079
```

Record 4
## SrMo2Se (GGA-PBE)

Data for crystalline SrMo2Se at its relaxed geometry. Values from VASP.

## Properties
Formation energy from raw total energies ... 0.449 eV per atom
M_tot ... 0.0 μB/f.u.

```
&SYSTEM
  ibrav = 0, nat = 4, ntyp = 3
/
ATOMIC_SPECIES
Mo 95.94 Mo.upf
Se 78.96 Se.upf
Sr 87.62 Sr.upf
CELL_PARAMETERS angstrom
-1.387 4.450 -3.992
2.182 0.185 -5.733
-3.264 -2.658 4.466
ATOMIC_POSITIONS angstrom
Mo 0.759 4.427 -9.291
Mo 0.433 2.524 -5.297
Se -2.127 2.055 -2.194
Sr -0.342 -0.078 -3.065
```

Please write out number 3 again, unchanged.
## MgNiTe (GGA-PBE)

Data for crystalline MgNiTe at its relaxed geometry. Values from VASP.

## Properties
Formation energy from raw total energies ... -0.315 eV per atom
M_tot ... 0.0 μB/f.u.

```
&SYSTEM
  ibrav = 0, nat = 6, ntyp = 3
/
ATOMIC_SPECIES
Ni 58.69 Ni.upf
Mg 24.30 Mg.upf
Te 127.60 Te.upf
CELL_PARAMETERS angstrom
-3.098 1.962 2.332
2.646 -2.883 1.891
6.484 3.639 1.489
ATOMIC_POSITIONS angstrom
Ni 5.368 0.477 2.936
Ni 2.608 1.117 2.780
Mg 3.701 -1.440 2.339
Mg 4.276 3.036 3.378
Te 0.748 -1.021 2.114
Te 1.118 3.222 3.079
```